RbCBr2 PBE relaxed; formation energy from raw total energies = 0.485 eV/atom; E above lowest polymorph = 0 meV/atom
1.0
-3.6002 3.6002 5.2292
3.6002 -3.6002 5.2292
3.6002 3.6002 -5.2292
Rb C Br
2 2 4
Direct
0.3750 0.6250 0.7500
0.6250 0.3750 0.2500
0.1250 0.8750 0.2500
0.8750 0.1250 0.7500
0.0000 0.0000 0.0000
0.0000 0.0000 0.5000
0.0000 0.5000 0.0000
0.5000 0.0000 0.5000